TaTc2Ni (GGA-PBE, relaxed); polymorph energy (0 for the lowest one) = 0.78 eV per formula unit; DFT total energy = -38.23 eV per cell; theoretical density = 12.30 g/cm³; magnetization = 0.00 μB/atom
1.0
2.690 0.000 0.000
0.000 4.463 0.000
-0.549 0.000 4.898
Ta Tc Ni
1 2 1
Cartesian
0.000 0.000 0.000 Ta
0.326 2.231 3.645 Tc
1.815 2.231 1.253 Tc
1.071 0.000 2.449 Ni



TaTcNi (GGA-PBE, relaxed); polymorph energy (0 for the lowest one) = 2.11 eV per formula unit; DFT total energy = -26.23 eV per cell; theoretical density = 10.81 g/cm³; magnetization = 0.00 μB/atom
1.0
0.000 2.960 2.960
2.960 0.000 2.960
2.960 2.960 0.000
Ta Tc Ni
1 1 1
Cartesian
0.000 0.000 0.000 Ta
4.440 4.440 4.440 Tc
1.480 1.480 1.480 Ni



Ta2TcNi (GGA-PBE, relaxed); DFT total energy = -40.92 eV per cell; theoretical density = 13.93 g/cm³; magnetization = 0.00 μB/atom
1.0
3.184 0.000 0.000
0.000 3.200 0.000
0.000 0.000 6.066
Ta Tc Ni
2 1 1
Cartesian
0.000 0.000 1.485 Ta
0.000 0.000 4.582 Ta
1.592 1.600 3.033 Tc
1.592 1.600 0.000 Ni



TaTcNi (GGA-PBE, relaxed); polymorph energy (0 for the lowest one) = 0.16 eV per formula unit; DFT total energy = -28.18 eV per cell; theoretical density = 12.68 g/cm³; magnetization = 0.02 μB/atom
1.0
-1.608 1.608 4.273
1.608 -1.608 4.273
1.608 1.608 -4.273
Ta Tc Ni
1 1 1
Cartesian
0.000 0.000 0.000 Ta
0.000 0.000 2.879 Tc
0.000 0.000 5.695 Ni



TaTcNi3 (GGA-PBE, relaxed); polymorph energy (0 for the lowest one) = 0.00 eV per formula unit; DFT total energy = -32.89 eV per cell; theoretical density = 9.13 g/cm³; magnetization = 0.00 μB/atom
1.0
4.358 0.000 0.000
0.000 4.358 0.000
0.000 0.000 4.358
Ta Tc Ni
1 1 3
Cartesian
0.000 0.000 0.000 Ta
2.179 2.179 2.179 Tc
0.000 2.179 2.179 Ni
2.179 0.000 2.179 Ni
2.179 2.179 0.000 Ni



TaTc2Ni (GGA-PBE, relaxed); polymorph energy (0 for the lowest one) = 0.75 eV per formula unit; DFT total energy = -38.25 eV per cell; theoretical density = 12.36 g/cm³; magnetization = 0.00 μB/atom
1.0
1.639 -2.140 0.000
1.639 2.140 0.000
0.000 0.000 8.344
Ta Tc Ni
1 2 1
Cartesian
0.000 0.000 0.000 Ta
1.639 0.000 2.241 Tc
1.639 0.000 6.103 Tc
0.000 0.000 4.172 Ni



TaTcNi (GGA-PBE, relaxed); polymorph energy (0 for the lowest one) = 0.33 eV per formula unit; DFT total energy = -28.02 eV per cell; theoretical density = 12.86 g/cm³; magnetization = 0.00 μB/atom
1.0
-1.349 1.349 5.987
1.349 -1.349 5.987
1.349 1.349 -5.987
Ta Tc Ni
1 1 1
Cartesian
0.000 0.000 0.000 Ta
0.000 0.000 3.720 Tc
0.000 0.000 7.940 Ni



Ta5Tc4Ni (GGA-PBE, relaxed); DFT total energy = -110.56 eV per cell; theoretical density = 14.13 g/cm³; magnetization = 0.00 μB/atom
1.0
3.194 0.000 0.000
0.000 3.194 0.000
0.000 0.000 15.614
Ta Tc Ni
5 4 1
Cartesian
0.000 0.000 0.000 Ta
0.000 0.000 3.182 Ta
0.000 0.000 6.326 Ta
0.000 0.000 9.288 Ta
0.000 0.000 12.432 Ta
1.597 1.597 1.591 Tc
1.597 1.597 4.785 Tc
1.597 1.597 10.829 Tc
1.597 1.597 14.023 Tc
1.597 1.597 7.807 Ni



Ta2TcNi (GGA-PBE, relaxed); DFT total energy = -39.77 eV per cell; theoretical density = 13.93 g/cm³; magnetization = 0.00 μB/atom
1.0
0.000 3.138 3.138
3.138 0.000 3.138
3.138 3.138 0.000
Ta Tc Ni
2 1 1
Cartesian
0.000 0.000 0.000 Ta
1.569 1.569 1.569 Ta
4.707 4.707 4.707 Tc
3.138 3.138 3.138 Ni



TaTc2Ni (GGA-PBE, relaxed); polymorph energy (0 for the lowest one) = 0.46 eV per formula unit; DFT total energy = -38.55 eV per cell; theoretical density = 12.38 g/cm³; magnetization = 0.00 μB/atom
1.0
3.192 0.000 0.000
0.000 3.192 0.000
0.000 0.000 5.734
Ta Tc Ni
1 2 1
Cartesian
0.000 0.000 0.000 Ta
1.596 1.596 1.577 Tc
1.596 1.596 4.157 Tc
0.000 0.000 2.867 Ni



Ta2TcNi (GGA-PBE, relaxed); DFT total energy = -76.70 eV per cell; theoretical density = 13.05 g/cm³; magnetization = 0.00 μB/atom
1.0
-3.471 3.471 2.739
3.471 -3.471 2.739
3.471 3.471 -2.739
Ta Tc Ni
4 2 2
Cartesian
5.207 1.672 -0.685 Ta
1.672 1.736 0.685 Ta
-1.736 1.799 2.054 Ta
1.799 1.736 3.424 Ta
3.471 0.000 1.369 Tc
0.000 0.000 2.739 Tc
0.000 0.000 0.000 Ni
0.000 3.471 1.369 Ni



TaTc2Ni (GGA-PBE, relaxed); polymorph energy (0 for the lowest one) = 0.28 eV per formula unit; DFT total energy = -38.73 eV per cell; theoretical density = 12.39 g/cm³; magnetization = 0.00 μB/atom
1.0
3.226 0.000 0.000
0.000 3.226 0.000
0.000 0.000 5.610
Ta Tc Ni
1 2 1
Cartesian
0.000 0.000 0.000 Ta
0.000 0.000 2.958 Tc
1.613 1.613 1.602 Tc
1.613 1.613 4.348 Ni